# 1
Entry from Alexandria: a geometry-optimized BPbAu structure (PBE).

The density is 11314 kg/m3. For the total moment, the calculation gives 0.00 μB per formula unit. The value obtained for the calculated formation energy is 1129 meV per atom.

The structure belongs to space group P6_3/mmc (No. 194); the cell edges are 4.0805, 4.0805 and 8.4477 Å and the angles 90.00°, 90.00° and 120.00°. The inequivalent atoms are B at (0.3333, 0.6667, 0.2500), Pb at (0.3333, 0.6667, 0.7500) and Au at (0.0000, 0.0000, 0.0000).

=====

# 2
Entry from Alexandria: a geometry-optimized BPbAu structure (PBE).

The density is 11454 kg/m3. For the total moment, the calculation gives 0.00 μB per formula unit. The value obtained for the calculated formation energy is 347 meV per atom.

The structure belongs to space group P-1 (No. 2); the cell edges are 3.288, 6.432 and 6.520 Å and the angles 114.67°, 90.18° and 104.62°. The inequivalent atoms are B at (0.062, 0.123, 0.118), Pb at (0.385, 0.769, 0.207) and Au at (0.335, 0.671, 0.680).

=====

# 3
Entry from Alexandria: a geometry-optimized BPbAu structure (PBE).

The density is 11746 kg/m3. For the total moment, the calculation gives 0.00 μB per formula unit. The value obtained for the calculated formation energy is 250 meV per atom.

The structure belongs to space group P-1 (No. 2); the cell edges are 3.266, 5.548 and 6.745 Å and the angles 81.19°, 76.44° and 89.96°. The inequivalent atoms are B at (0.247, 0.000, 0.499), Pb at (0.128, 0.551, 0.243) and Au at (0.334, 0.936, 0.835).

=====

# 4
Entry from Alexandria: a geometry-optimized BPbAu structure (PBE).

The density is 11111 kg/m3. For the total moment, the calculation gives 0.00 μB per formula unit. The value obtained for the calculated formation energy is 309 meV per atom.

The structure belongs to space group P1 (No. 1); the cell edges are 4.432, 5.807 and 5.905 Å and the angles 114.52°, 107.20° and 100.16°. The inequivalent atoms are B at (0.000, 0.000, 0.000), B at (0.137, 0.762, 0.999), Pb at (0.298, 0.943, 0.621), Pb at (0.683, 0.317, 0.374), Au at (0.039, 0.368, 0.996) and Au at (0.599, 0.698, 0.997).

=====

# 5
Entry from Alexandria: a geometry-optimized BPb3Au structure (PBE).

The density is 10707 kg/m3. For the total moment, the calculation gives 0.00 μB per formula unit. The calculation puts the distance to the lowest polymorph of the same formula at 0.000 eV/atom. The value obtained for the calculated formation energy is 643 meV per atom.

The structure belongs to space group Pm-3m (No. 221); the cell edges are 5.048, 5.048 and 5.048 Å and the angles 90.00°, 90.00° and 90.00°. The inequivalent atoms are B at (0.000, 0.000, 0.000), Pb at (0.000, 0.000, 0.500) and Au at (0.500, 0.500, 0.500).

=====

# 6
Entry from Alexandria: a geometry-optimized B2PbAu2 structure (PBE).

The density is 11906 kg/m3. For the total moment, the calculation gives 0.00 μB per formula unit. The calculation puts the distance to the lowest polymorph of the same formula at 0.000 eV/atom. The value obtained for the calculated formation energy is 681 meV per atom.

The structure belongs to space group I4/mmm (No. 139); the cell edges are 4.042, 4.042 and 10.634 Å and the angles 90.00°, 90.00° and 90.00°. The inequivalent atoms are B at (0.000, 0.500, 0.250), Pb at (0.000, 0.000, 0.000) and Au at (0.000, 0.000, 0.339).